Record 1
The following is a DFT calculation (GGA-PBE) of a relaxed AcInAg2Te4 crystal.

The space group is I222 (No. 23) and the conventional cell measures 7.7395, 7.9837 and 8.3742 Å, with angles of 90.00, 90.00 and 90.00 degrees. The distinct sites, in fractional coordinates, are Ac at (0.0000, 0.0000, 0.0000), In at (0.0000, 0.0000, 0.5000), Ag at (0.0000, 0.5000, 0.1774) and Te at (0.2146, 0.2052, 0.3099).

The calculation puts the uncorrected formation energy at -0.59 eV/atom.



Record 2
The following is a DFT calculation (GGA-PBE) of a relaxed GaFe3Tc crystal.

The space group is Pm-3m (No. 221) and the conventional cell measures 4.3759, 4.3759 and 4.3759 Å, with angles of 90.00, 90.00 and 90.00 degrees. The distinct sites, in fractional coordinates, are Ga at (0.0000, 0.0000, 0.0000), Fe at (0.0000, 0.5000, 0.5000) and Tc at (0.5000, 0.5000, 0.5000).



Record 3
The following is a DFT calculation (GGA-PBE) of a relaxed V8Cr2Os crystal.

The space group is C2/m (No. 12) and the conventional cell measures 8.1452, 8.1722 and 4.9174 Å, with angles of 90.00, 97.80 and 90.00 degrees. The distinct sites, in fractional coordinates, are V at (0.0845, 0.0000, 0.3499), V at (0.1487, 0.2605, 0.7280), V at (0.1984, 0.0000, 0.9504), Cr at (0.1390, 0.5000, 0.4723) and Os at (0.0000, 0.5000, 0.0000).



Record 4
The following is a DFT calculation (GGA-PBE) of a relaxed CsRb4 crystal.

The space group is P4/mcc (No. 124) and the conventional cell measures 10.3610, 10.3610 and 9.0363 Å, with angles of 90.00, 90.00 and 90.00 degrees. The distinct sites, in fractional coordinates, are Cs at (0.0000, 0.0000, 0.2500) and Rb at (0.1963, 0.3886, 0.0000).

The excess energy over the best structure of this formula in the dataset comes out at 37 meV/atom.



Record 5
The following is a DFT calculation (GGA-PBE) of a relaxed RbLiTe crystal.

The space group is I4mm (No. 107) and the conventional cell measures 4.8851, 4.8851 and 9.3376 Å, with angles of 90.00, 90.00 and 90.00 degrees. The distinct sites, in fractional coordinates, are Rb at (0.0000, 0.0000, 0.0000), Li at (0.0000, 0.0000, 0.3407) and Te at (0.0000, 0.0000, 0.6304).

The calculation puts the uncorrected formation energy at -0.67 eV/atom.



Record 6
The following is a DFT calculation (GGA-PBE) of a relaxed NbTlBiS2 crystal.

The space group is P4/mmm (No. 123) and the conventional cell measures 4.7421, 4.7421 and 5.8984 Å, with angles of 90.00, 90.00 and 90.00 degrees. The distinct sites, in fractional coordinates, are Nb at (0.0000, 0.0000, 0.0000), Tl at (0.0000, 0.0000, 0.5000), Bi at (0.5000, 0.5000, 0.5000) and S at (0.0000, 0.5000, 0.0000).

The calculation puts the uncorrected formation energy at 0.01 eV/atom.



Record 7
The following is a DFT calculation (GGA-PBE) of a relaxed Cu2SnWN crystal.

The space group is P4/mmm (No. 123) and the conventional cell measures 4.2106, 4.2106 and 4.0172 Å, with angles of 90.00, 90.00 and 90.00 degrees. The distinct sites, in fractional coordinates, are Cu at (0.0000, 0.5000, 0.0000), Sn at (0.0000, 0.0000, 0.5000), W at (0.5000, 0.5000, 0.5000) and N at (0.5000, 0.5000, 0.0000).

The calculation puts the uncorrected formation energy at 0.38 eV/atom.



Record 8
The following is a DFT calculation (GGA-PBE) of a relaxed SrNiS3 crystal.

The space group is Pm-3m (No. 221) and the conventional cell measures 4.5734, 4.5734 and 4.5734 Å, with angles of 90.00, 90.00 and 90.00 degrees. The distinct sites, in fractional coordinates, are Sr at (0.0000, 0.0000, 0.0000), Ni at (0.5000, 0.5000, 0.5000) and S at (0.0000, 0.5000, 0.5000).

The calculation puts the uncorrected formation energy at -0.70 eV/atom.



Record 9
The following is a DFT calculation (GGA-PBE) of a relaxed Ac3Ce2NdAs6 crystal.

The space group is C2/m (No. 12) and the conventional cell measures 7.6013, 13.1638 and 7.6283 Å, with angles of 90.00, 109.40 and 90.00 degrees. The distinct sites, in fractional coordinates, are Ac at (0.0000, 0.0000, 0.0000), Ac at (0.0000, 0.3341, 0.0000), Ce at (0.0000, 0.1670, 0.5000), Nd at (0.0000, 0.5000, 0.5000), As at (0.2400, 0.0000, 0.7312) and As at (0.2457, 0.3315, 0.7315).



Record 10
The following is a DFT calculation (GGA-PBE) of a relaxed Ba3Mg2Al2Ga4 crystal.

The space group is P-3m1 (No. 164) and the conventional cell measures 4.5226, 4.5226 and 18.6944 Å, with angles of 90.00, 90.00 and 120.00 degrees. The distinct sites, in fractional coordinates, are Ba at (0.0000, 0.0000, 0.0000), Ba at (0.0000, 0.0000, 0.2749), Mg at (0.3333, 0.6667, 0.5498), Al at (0.3333, 0.6667, 0.1402), Ga at (0.3333, 0.6667, 0.3963) and Ga at (0.3333, 0.6667, 0.8636).



Record 11
The following is a DFT calculation (GGA-PBE) of a relaxed La6Tc2HI3 crystal.

The space group is C2/m (No. 12) and the conventional cell measures 7.1776, 12.4290 and 8.6505 Å, with angles of 90.00, 106.12 and 90.00 degrees. The distinct sites, in fractional coordinates, are La at (0.2231, 0.0000, 0.1885), La at (0.2318, 0.3307, 0.1865), Tc at (0.0000, 0.1657, 0.0000), H at (0.0000, 0.5000, 0.0000), I at (0.0000, 0.0000, 0.5000) and I at (0.0000, 0.3295, 0.5000).



Record 12
The following is a DFT calculation (GGA-PBE) of a relaxed CaP3N crystal.

The space group is Pm-3m (No. 221) and the conventional cell measures 5.2895, 5.2895 and 5.2895 Å, with angles of 90.00, 90.00 and 90.00 degrees. The distinct sites, in fractional coordinates, are Ca at (0.0000, 0.0000, 0.0000), P at (0.0000, 0.0000, 0.5000) and N at (0.5000, 0.5000, 0.5000).

The calculation puts the uncorrected formation energy at 2.15 eV/atom. The excess energy over the best structure of this formula in the dataset comes out at 1742 meV/atom.



Record 13
The following is a DFT calculation (GGA-PBE) of a relaxed Ba2TlMoIr crystal.

The space group is P4/mmm (No. 123) and the conventional cell measures 6.4792, 6.4792 and 5.0328 Å, with angles of 90.00, 90.00 and 90.00 degrees. The distinct sites, in fractional coordinates, are Ba at (0.0000, 0.5000, 0.0000), Tl at (0.0000, 0.0000, 0.0000), Mo at (0.5000, 0.5000, 0.5000) and Ir at (0.0000, 0.0000, 0.5000).



Record 14
The following is a DFT calculation (GGA-PBE) of a relaxed Cs3AgCl crystal.

The space group is P2_1/m (No. 11) and the conventional cell measures 9.5784, 4.8732 and 13.6039 Å, with angles of 90.00, 108.20 and 90.00 degrees. The distinct sites, in fractional coordinates, are Cs at (0.2060, 0.2500, 0.0700), Cs at (0.2249, 0.2500, 0.3952), Cs at (0.2537, 0.7500, 0.7717), Ag at (0.4861, 0.7500, 0.0494) and Cl at (0.0303, 0.7500, 0.1957).

The calculation puts the uncorrected formation energy at -0.71 eV/atom. The excess energy over the best structure of this formula in the dataset comes out at 0 meV/atom.



Record 15
The following is a DFT calculation (GGA-PBE) of a relaxed LaPr3As3 crystal.

The space group is P2_13 (No. 198) and the conventional cell measures 9.1484, 9.1484 and 9.1484 Å, with angles of 90.00, 90.00 and 90.00 degrees. The distinct sites, in fractional coordinates, are La at (0.0669, 0.4331, 0.5669), Pr at (0.0663, 0.5663, 0.9337), Pr at (0.1841, 0.1841, 0.1841), Pr at (0.1839, 0.8161, 0.3161) and As at (0.0000, 0.2507, 0.8767).



Record 16
The following is a DFT calculation (GGA-PBE) of a relaxed ZrTaNi5 crystal.

The space group is P4/mmm (No. 123) and the conventional cell measures 3.6197, 3.6197 and 7.5342 Å, with angles of 90.00, 90.00 and 90.00 degrees. The distinct sites, in fractional coordinates, are Zr at (0.0000, 0.0000, 0.0000), Ta at (0.5000, 0.5000, 0.5000), Ni at (0.0000, 0.5000, 0.2658) and Ni at (0.5000, 0.5000, 0.0000).



Record 17
The following is a DFT calculation (GGA-PBE) of a relaxed ThAlZnGa2 crystal.

The space group is I-4m2 (No. 119) and the conventional cell measures 4.1983, 4.1983 and 11.1239 Å, with angles of 90.00, 90.00 and 90.00 degrees. The distinct sites, in fractional coordinates, are Th at (0.0000, 0.0000, 0.0000), Al at (0.0000, 0.5000, 0.2500), Zn at (0.0000, 0.5000, 0.7500) and Ga at (0.0000, 0.0000, 0.3873).



Record 18
The following is a DFT calculation (GGA-PBE) of a relaxed PrSnS crystal.

The space group is R-3m (No. 166, hexagonal axes) and the conventional cell measures 4.6523, 4.6523 and 28.1221 Å, with angles of 90.00, 90.00 and 120.00 degrees. The distinct sites, in fractional coordinates, are Pr at (0.0000, 0.0000, 0.1018), Sn at (0.0000, 0.0000, 0.3561) and S at (0.0000, 0.0000, 0.2042).

The calculation puts the uncorrected formation energy at -1.23 eV/atom.



Record 19
The following is a DFT calculation (GGA-PBE) of a relaxed SiTe3 crystal.

The space group is Pm-3m (No. 221) and the conventional cell measures 5.3530, 5.3530 and 5.3530 Å, with angles of 90.00, 90.00 and 90.00 degrees. The distinct sites, in fractional coordinates, are Si at (0.0000, 0.0000, 0.0000) and Te at (0.0000, 0.0000, 0.5000).

The calculation puts the uncorrected formation energy at 0.56 eV/atom.



Record 20
The following is a DFT calculation (GGA-PBE) of a relaxed AcNd6Sm4 crystal.

The space group is I-42m (No. 121) and the conventional cell measures 7.9355, 7.9355 and 13.2450 Å, with angles of 90.00, 90.00 and 90.00 degrees. The distinct sites, in fractional coordinates, are Ac at (0.0000, 0.0000, 0.0000), Nd at (0.0000, 0.5000, 0.0000), Nd at (0.2496, 0.2496, 0.1921) and Sm at (0.1653, 0.1653, 0.4244).

The excess energy over the best structure of this formula in the dataset comes out at 40 meV/atom.



Record 21
The following is a DFT calculation (GGA-PBE) of a relaxed AcNd3In crystal.

The space group is P6_3/mmc (No. 194) and the conventional cell measures 8.2521, 8.2521 and 6.3681 Å, with angles of 90.00, 90.00 and 120.00 degrees. The distinct sites, in fractional coordinates, are Ac at (0.3333, 0.6667, 0.2500), Nd at (0.1904, 0.3808, 0.7500) and In at (0.0000, 0.0000, 0.0000).

The excess energy over the best structure of this formula in the dataset comes out at 107 meV/atom.



Record 22
The following is a DFT calculation (GGA-PBE) of a relaxed RbI2Cl crystal.

The space group is I-42d (No. 122) and the conventional cell measures 6.6932, 6.6932 and 19.1902 Å, with angles of 90.00, 90.00 and 90.00 degrees. The distinct sites, in fractional coordinates, are Rb at (0.0000, 0.0000, 0.0000), I at (0.1455, 0.2500, 0.6250) and Cl at (0.0000, 0.0000, 0.5000).

The calculation puts the uncorrected formation energy at -0.47 eV/atom. The excess energy over the best structure of this formula in the dataset comes out at 460 meV/atom.



Record 23
The following is a DFT calculation (GGA-PBE) of a relaxed K2LaSc crystal.

The space group is I4/mmm (No. 139) and the conventional cell measures 4.9330, 4.9330 and 14.0300 Å, with angles of 90.00, 90.00 and 90.00 degrees. The distinct sites, in fractional coordinates, are K at (0.0000, 0.5000, 0.2500), La at (0.0000, 0.0000, 0.0000) and Sc at (0.0000, 0.0000, 0.5000).

The excess energy over the best structure of this formula in the dataset comes out at 310 meV/atom.



Record 24
The following is a DFT calculation (GGA-PBE) of a relaxed LiCdSn2 crystal.

The space group is R-3m (No. 166, hexagonal axes) and the conventional cell measures 4.9988, 4.9988 and 20.0416 Å, with angles of 90.00, 90.00 and 120.00 degrees. The distinct sites, in fractional coordinates, are Li at (0.0000, 0.0000, 0.0000), Cd at (0.0000, 0.0000, 0.5000) and Sn at (0.0000, 0.0000, 0.3591).



It is found that the raw total energy values, taken in the order of the records, are -3.73, -6.37, -8.86, -0.90, -2.68, -4.90, -6.32, -4.67, -6.19, -2.83, -5.47, -3.16, -3.93, -2.16, -6.03, -7.20, -4.09, -5.53, -3.15, -4.34, -4.21, -1.95, -2.75, -2.63 eV/atom.